1.
Computed, not measured: a relaxed structure of PrNdBi2 at the PBE-GGA level of DFT.

Lattice parameters (Å, degrees): 8.0126 4.6314 8.0069 90.00 109.57 90.00
Closest atoms and distances in Å follow each position.
Space group C2/m (No. 12)
One atom of each set of equivalent atoms:
Pr: 0.0000 0.0000 0.0000 (multiplicity 2)  6 Bi 3.28
Nd: 0.0000 0.5000 0.5000 (multiplicity 2)  6 Bi 3.26
Bi: 0.2494 0.0000 0.7480 (multiplicity 4)  3 Nd 3.26, 3 Pr 3.28

Computed properties:
excess energy over the best structure of this formula in the dataset = 1 meV/atom
V = 280.0 Å³ per cell
formation energy from the elements = -0.955 eV/atom
raw total energy = -5.2823 eV/atom

---

2.
Computed, not measured: a relaxed structure of Pr5Nd2Bi4 at the PBE-GGA level of DFT.

Lattice parameters (Å, degrees): 24.8379 3.6319 9.3582 90.00 110.34 90.00
Closest atoms and distances in Å follow each position.
Space group C2/m (No. 12)
One atom of each set of equivalent atoms:
Pr: 0.0000 0.0000 0.0000 (multiplicity 2)  4 Bi 3.23
Pr: 0.1186 0.5000 0.9398 (multiplicity 4)  3 Bi 3.38-3.56, 1 Nd 3.50, 4 Pr 3.63-3.67
Pr: 0.1732 0.5000 0.4244 (multiplicity 4)  3 Bi 3.38-3.48, 2 Pr 3.63, 1 Nd 3.66
Nd: 0.2382 0.0000 0.8161 (multiplicity 4)  1 Bi 3.22, 1 Pr 3.50
Bi: 0.0281 0.5000 0.3021 (multiplicity 4)  4 Pr 3.23-3.56, 2 Bi 3.45
Bi: 0.1025 0.0000 0.6232 (multiplicity 4)  1 Nd 3.22, 4 Pr 3.38-3.48, 2 Bi 3.45

Computed properties:
V = 791.6 Å³ per cell
formation energy from the elements = -0.098 eV/atom
raw total energy = -4.5491 eV/atom

---

Q: formation energy from the elements of number 1 (PrNdBi2)?
A: -0.955 eV/atom

---

Q: Among the records above, which one has the highest raw total energy?
A: Pr5Nd2Bi4

---

Q: What is the formula in the second record?
A: Pr5Nd2Bi4

---

Please write out number 1 again, unchanged.
Computed, not measured: a relaxed structure of PrNdBi2 at the PBE-GGA level of DFT.

Lattice parameters (Å, degrees): 8.0126 4.6314 8.0069 90.00 109.57 90.00
Closest atoms and distances in Å follow each position.
Space group C2/m (No. 12)
One atom of each set of equivalent atoms:
Pr: 0.0000 0.0000 0.0000 (multiplicity 2)  6 Bi 3.28
Nd: 0.0000 0.5000 0.5000 (multiplicity 2)  6 Bi 3.26
Bi: 0.2494 0.0000 0.7480 (multiplicity 4)  3 Nd 3.26, 3 Pr 3.28

Computed properties:
excess energy over the best structure of this formula in the dataset = 1 meV/atom
V = 280.0 Å³ per cell
formation energy from the elements = -0.955 eV/atom
raw total energy = -5.2823 eV/atom